1.
A plane-wave DFT calculation with PBE-GGA was carried out for TaTlSn2Os after structural relaxation.

a b c (Å): 5.331 5.419 5.331
angles (deg): 90.00 90.00 90.00
Last column: magnetic moment on the atom in μB.
Fractional coordinates of all 5 atoms:
Tl: 0.000 0.500 0.000  0.02
Os: 0.500 0.500 0.500  3.00
Sn: 0.000 0.000 0.500  0.03
Sn: 0.500 0.000 0.000  0.03
Ta: 0.000 0.000 0.000  0.41

Computed properties:
ΔH_f (0 K) in eV per atom: 1.700
Space group: P4/mmm



2.
A plane-wave DFT calculation with PBE-GGA was carried out for Pm12Al2Si5 after structural relaxation.

a b c (Å): 7.160 9.232 9.635
angles (deg): 102.88 90.00 112.82
Fractional coordinates of all 19 atoms:
Pm: 0.966 0.932 0.189
Pm: 0.081 0.646 0.896
Pm: 0.565 0.646 0.896
Pm: 0.093 0.697 0.435
Pm: 0.603 0.697 0.435
Pm: 0.491 0.983 0.711
Pm: 0.509 0.017 0.289
Pm: 0.907 0.303 0.565
Pm: 0.397 0.303 0.565
Pm: 0.919 0.354 0.104
Pm: 0.435 0.354 0.104
Pm: 0.034 0.068 0.811
Al: 0.682 0.000 0.000
Al: 0.318 0.000 0.000
Si: 0.302 0.604 0.641
Si: 0.326 0.653 0.174
Si: 0.000 0.000 0.500
Si: 0.674 0.347 0.826
Si: 0.698 0.396 0.359

Computed properties:
Space group: C2/m
Formation energy from raw total energies in meV/atom: -285



3.
A plane-wave DFT calculation with PBE-GGA was carried out for Sm2Cd5Cu after structural relaxation.

a b c (Å): 4.697 4.697 11.102
angles (deg): 77.79 77.79 60.00
Fractional coordinates of all 8 atoms:
Sm: 0.087 0.087 0.740
Sm: 0.913 0.913 0.260
Cd: 0.500 0.500 0.500
Cd: 0.354 0.354 0.938
Cd: 0.646 0.646 0.062
Cd: 0.196 0.196 0.411
Cd: 0.804 0.804 0.589
Cu: 0.000 0.000 0.000

Computed properties:
ΔH_f (0 K) in eV per atom: -0.080
Space group: R-3m



4.
A plane-wave DFT calculation with PBE-GGA was carried out for Tb3InI7 after structural relaxation.

a b c (Å): 7.192 8.744 8.744
angles (deg): 120.00 90.00 90.00
Last column: magnetic moment on the atom in μB.
Fractional coordinates of all 11 atoms:
Tb: 0.780 0.494 0.506  0.35
Tb: 0.780 0.494 0.987  0.35
Tb: 0.780 0.013 0.506  0.35
In: 0.486 0.333 0.667  0.45
I: 0.038 0.171 0.829  0.02
I: 0.038 0.171 0.342  0.02
I: 0.031 0.667 0.333  0.02
I: 0.548 0.832 0.168  0.01
I: 0.548 0.337 0.168  0.01
I: 0.548 0.832 0.663  0.01
I: 0.038 0.658 0.829  0.02

Computed properties:
Space group: P3m1
Formation energy from raw total energies in meV/atom: -1043



5.
A plane-wave DFT calculation with PBE-GGA was carried out for NdZrTlHg after structural relaxation.

a b c (Å): 5.254 5.254 5.254
angles (deg): 60.00 60.00 60.00
Fractional coordinates of all 4 atoms:
Tl: 0.000 0.000 0.000
Nd: 0.250 0.250 0.250
Hg: 0.500 0.500 0.500
Zr: 0.750 0.750 0.750

Computed properties:
ΔH_f (0 K) in eV per atom: -0.188
Space group: F-43m



6.
A plane-wave DFT calculation with PBE-GGA was carried out for Li2OsPb after structural relaxation.

a b c (Å): 3.372 3.372 5.952
angles (deg): 90.00 90.00 90.00
Fractional coordinates of all 4 atoms:
Li: 0.000 0.000 0.025
Li: 0.500 0.500 0.261
Os: 0.000 0.000 0.482
Pb: 0.500 0.500 0.733

Computed properties:
ΔH_f (0 K) in eV per atom: 0.327
Space group: P4mm



7.
A plane-wave DFT calculation with PBE-GGA was carried out for ScCrOs after structural relaxation.

a b c (Å): 4.289 4.289 2.857
angles (deg): 90.00 90.00 120.00
Fractional coordinates of all 3 atoms:
Cr: 0.000 0.000 0.036
Os: 0.667 0.333 0.293
Sc: 0.333 0.667 0.671

Computed properties:
ΔH_f (0 K) in eV per atom: 0.054
Energy relative to the lowest polymorph listed for this composition in meV/atom: 334
Space group: P3m1



8.
A plane-wave DFT calculation with PBE-GGA was carried out for YHf2AuN after structural relaxation.

a b c (Å): 4.426 4.426 4.710
angles (deg): 90.00 90.00 90.00
Fractional coordinates of all 5 atoms:
Y: 0.000 0.000 0.500
Hf: 0.000 0.500 0.000
Hf: 0.500 0.000 0.000
Au: 0.500 0.500 0.500
N: 0.000 0.000 0.000

Computed properties:
Space group: P4/mmm
Formation energy from raw total energies in meV/atom: -914



9.
A plane-wave DFT calculation with PBE-GGA was carried out for Cr5W3 after structural relaxation.

a b c (Å): 6.004 6.004 6.004
angles (deg): 90.00 90.00 90.11
Last column: magnetic moment on the atom in μB.
Fractional coordinates of all 16 atoms:
Cr: 0.994 0.006 0.000  -0.63
Cr: 0.997 0.493 0.000  -0.57
Cr: 0.249 0.250 0.756  0.57
Cr: 0.249 0.250 0.244  0.57
Cr: 0.507 0.003 0.000  -0.57
Cr: 0.502 0.498 0.500  -0.77
Cr: 0.751 0.249 0.757  0.41
Cr: 0.751 0.249 0.243  0.41
Cr: 0.750 0.751 0.756  0.57
Cr: 0.750 0.751 0.244  0.57
W: 0.994 0.006 0.500  -0.13
W: 0.991 0.495 0.500  -0.16
W: 0.250 0.750 0.756  0.15
W: 0.250 0.750 0.244  0.15
W: 0.505 0.009 0.500  -0.16
W: 0.509 0.491 0.000  -0.13

Computed properties:
ΔH_f (0 K) in eV per atom: 0.086
Energy relative to the lowest polymorph listed for this composition in meV/atom: 0
Space group: Amm2



10.
A plane-wave DFT calculation with PBE-GGA was carried out for Pr5Tm4Hg4 after structural relaxation.

a b c (Å): 5.139 9.097 9.097
angles (deg): 85.42 73.59 73.59
Fractional coordinates of all 13 atoms:
Pr: 0.687 0.934 0.691
Pr: 0.313 0.066 0.309
Pr: 0.000 0.000 0.000
Pr: 0.621 0.691 0.066
Pr: 0.379 0.309 0.934
Tm: 0.903 0.499 0.695
Tm: 0.598 0.305 0.499
Tm: 0.097 0.501 0.305
Tm: 0.402 0.695 0.501
Hg: 0.754 0.333 0.159
Hg: 0.246 0.667 0.841
Hg: 0.913 0.841 0.333
Hg: 0.087 0.159 0.667

Computed properties:
ΔH_f (0 K) in eV per atom: -0.304
Space group: I4/m



11.
A plane-wave DFT calculation with PBE-GGA was carried out for CaIrPb2 after structural relaxation.

a b c (Å): 4.086 5.846 5.840
angles (deg): 57.48 90.00 90.00
Fractional coordinates of all 4 atoms:
Pb: 0.000 0.927 0.927
Pb: 0.000 0.573 0.573
Ca: 0.500 0.250 0.250
Ir: 0.500 0.750 0.750

Computed properties:
ΔH_f (0 K) in eV per atom: -0.097
Space group: P2/m



12.
A plane-wave DFT calculation with PBE-GGA was carried out for RbNaTc2F after structural relaxation.

a b c (Å): 6.289 4.861 6.289
angles (deg): 90.00 90.00 90.00
Last column: magnetic moment on the atom in μB.
Fractional coordinates of all 5 atoms:
Na: 0.500 0.500 0.500  -0.02
Tc: 0.000 0.000 0.500  3.58
Tc: 0.500 0.000 0.000  3.84
Rb: 0.000 0.000 0.000  0.06
F: 0.000 0.500 0.000  0.03

Computed properties:
Space group: P4/mmm
Formation energy from raw total energies in meV/atom: 1575



13.
A plane-wave DFT calculation with PBE-GGA was carried out for Pr2EuY after structural relaxation.

a b c (Å): 3.711 3.711 10.522
angles (deg): 90.00 90.00 90.00
Last column: magnetic moment on the atom in μB.
Fractional coordinates of all 4 atoms:
Eu: 0.500 0.500 0.500  -6.95
Pr: 0.000 0.000 0.763  -0.01
Pr: 0.000 0.000 0.237  -0.01
Y: 0.500 0.500 0.000  0.11

Computed properties:
ΔH_f (0 K) in eV per atom: 0.030
Energy relative to the lowest polymorph listed for this composition in meV/atom: 0
Space group: P4/mmm



14.
A plane-wave DFT calculation with PBE-GGA was carried out for ScRu2Pt after structural relaxation.

a b c (Å): 4.774 4.774 2.860
angles (deg): 90.00 90.00 108.65
Fractional coordinates of all 4 atoms:
Pt: 0.000 0.500 0.500
Ru: 0.000 0.000 0.000
Ru: 0.500 0.500 0.000
Sc: 0.500 0.000 0.500

Computed properties:
ΔH_f (0 K) in eV per atom: -0.272
Space group: Cmmm



15.
A plane-wave DFT calculation with PBE-GGA was carried out for GePdAu3 after structural relaxation.

a b c (Å): 5.020 5.020 5.020
angles (deg): 90.00 90.00 90.00
Fractional coordinates of all 5 atoms:
Ge: 0.500 0.500 0.500
Au: 0.000 0.500 0.000
Au: 0.000 0.000 0.500
Au: 0.500 0.000 0.000
Pd: 0.000 0.000 0.000

Computed properties:
ΔH_f (0 K) in eV per atom: 0.792
Energy relative to the lowest polymorph listed for this composition in meV/atom: 763
Space group: Pm-3m



16.
A plane-wave DFT calculation with PBE-GGA was carried out for CuTcGePd after structural relaxation.

a b c (Å): 4.295 4.295 4.295
angles (deg): 60.00 60.00 60.00
Fractional coordinates of all 4 atoms:
Ge: 0.250 0.250 0.250
Cu: 0.750 0.750 0.750
Tc: 0.000 0.000 0.000
Pd: 0.500 0.500 0.500

Computed properties:
ΔH_f (0 K) in eV per atom: -0.074
Space group: F-43m



17.
A plane-wave DFT calculation with PBE-GGA was carried out for TaCuOs after structural relaxation.

a b c (Å): 6.767 6.601 2.725
angles (deg): 81.67 74.85 23.48
Fractional coordinates of all 3 atoms:
Cu: 0.998 0.998 0.002
Os: 0.335 0.335 0.665
Ta: 0.667 0.667 0.333

Computed properties:
ΔH_f (0 K) in eV per atom: 0.237
Energy relative to the lowest polymorph listed for this composition in meV/atom: 325
Space group: Fmm2



18.
A plane-wave DFT calculation with PBE-GGA was carried out for Be2TeIr after structural relaxation.

a b c (Å): 4.621 4.621 4.621
angles (deg): 130.92 129.16 73.35
Fractional coordinates of all 4 atoms:
Be: 0.998 0.998 0.000
Be: 0.502 0.502 0.000
Ir: 0.750 0.250 0.500
Te: 0.250 0.750 0.500

Computed properties:
Space group: Immm
Formation energy from raw total energies in meV/atom: 328



19.
A plane-wave DFT calculation with PBE-GGA was carried out for ZnFe2GeAu after structural relaxation.

a b c (Å): 4.902 4.715 4.902
angles (deg): 90.00 90.00 90.00
Last column: magnetic moment on the atom in μB.
Fractional coordinates of all 5 atoms:
Ge: 0.000 0.500 0.000  0.02
Au: 0.000 0.000 0.000  0.09
Zn: 0.500 0.500 0.500  0.00
Fe: 0.000 0.000 0.500  3.40
Fe: 0.500 0.000 0.000  2.98

Computed properties:
ΔH_f (0 K) in eV per atom: 1.119
Space group: P4/mmm



20.
A plane-wave DFT calculation with PBE-GGA was carried out for Zr2InBr after structural relaxation.

a b c (Å): 5.158 3.248 5.826
angles (deg): 73.99 90.00 90.00
Fractional coordinates of all 4 atoms:
Br: 0.000 0.366 0.396
Zr: 0.000 0.065 0.994
Zr: 0.500 0.404 0.313
In: 0.500 0.665 0.797

Computed properties:
Energy relative to the lowest polymorph listed for this composition in meV/atom: 140
Space group: Pm
Formation energy from raw total energies in meV/atom: -278



21.
A plane-wave DFT calculation with PBE-GGA was carried out for HfHgGe2Os after structural relaxation.

a b c (Å): 5.175 4.951 5.175
angles (deg): 90.00 90.00 90.00
Last column: magnetic moment on the atom in μB.
Fractional coordinates of all 5 atoms:
Hf: 0.000 0.000 0.000  -0.04
Ge: 0.000 0.000 0.500  -0.02
Ge: 0.500 0.000 0.000  0.03
Os: 0.000 0.500 0.000  1.13
Hg: 0.500 0.500 0.500  0.02

Computed properties:
ΔH_f (0 K) in eV per atom: 1.189
Space group: P4/mmm



22.
A plane-wave DFT calculation with PBE-GGA was carried out for ErTlGeSe4 after structural relaxation.

a b c (Å): 6.734 7.002 8.981
angles (deg): 90.00 107.27 90.00
Fractional coordinates of all 14 atoms:
Er: 0.771 0.750 0.446
Er: 0.229 0.250 0.554
Tl: 0.759 0.750 0.938
Tl: 0.241 0.250 0.062
Ge: 0.228 0.750 0.327
Ge: 0.772 0.250 0.673
Se: 0.011 0.510 0.711
Se: 0.989 0.010 0.289
Se: 0.989 0.490 0.289
Se: 0.011 0.990 0.711
Se: 0.436 0.750 0.158
Se: 0.564 0.250 0.842
Se: 0.444 0.750 0.589
Se: 0.556 0.250 0.411

Computed properties:
Space group: P2_1/m
Formation energy from raw total energies in meV/atom: -869



23.
A plane-wave DFT calculation with PBE-GGA was carried out for CsGa2Au2 after structural relaxation.

a b c (Å): 4.880 4.880 7.413
angles (deg): 70.78 70.78 90.00
Fractional coordinates of all 5 atoms:
Cs: 0.000 0.000 0.000
Au: 0.319 0.319 0.363
Au: 0.681 0.681 0.637
Ga: 0.750 0.250 0.500
Ga: 0.250 0.750 0.500

Computed properties:
ΔH_f (0 K) in eV per atom: -0.245
Energy relative to the lowest polymorph listed for this composition in meV/atom: 39
Space group: I4/mmm



24.
A plane-wave DFT calculation with PBE-GGA was carried out for I2Br after structural relaxation.

a b c (Å): 6.197 6.311 9.033
angles (deg): 105.20 98.79 94.25
Fractional coordinates of all 6 atoms:
I: 0.500 0.207 0.376
I: 0.695 0.439 0.119
I: 0.912 0.098 0.966
I: 0.323 0.988 0.570
Br: 0.141 0.749 0.796
Br: 0.823 0.480 0.591

Computed properties:
Energy relative to the lowest polymorph listed for this composition in meV/atom: 56
Space group: P1
Formation energy from raw total energies in meV/atom: 19



25.
A plane-wave DFT calculation with PBE-GGA was carried out for Tb2SmHo12 after structural relaxation.

a b c (Å): 6.586 6.586 24.775
angles (deg): 96.64 83.36 64.99
Fractional coordinates of all 30 atoms:
Tb: 0.546 0.954 0.272
Tb: 0.046 0.454 0.272
Tb: 0.954 0.546 0.728
Tb: 0.454 0.046 0.728
Sm: 0.500 0.000 0.000
Sm: 0.000 0.500 0.000
Ho: 0.401 0.599 0.798
Ho: 0.901 0.099 0.798
Ho: 0.603 0.897 0.862
Ho: 0.056 0.944 0.925
Ho: 0.003 0.997 0.331
Ho: 0.444 0.556 0.075
Ho: 0.832 0.168 0.555
Ho: 0.503 0.497 0.331
Ho: 0.103 0.397 0.862
Ho: 0.897 0.603 0.138
Ho: 0.318 0.182 0.574
Ho: 0.668 0.332 0.445
Ho: 0.997 0.003 0.669
Ho: 0.182 0.318 0.426
Ho: 0.397 0.103 0.138
Ho: 0.682 0.818 0.426
Ho: 0.818 0.682 0.574
Ho: 0.099 0.901 0.202
Ho: 0.332 0.668 0.555
Ho: 0.497 0.503 0.669
Ho: 0.556 0.444 0.925
Ho: 0.599 0.401 0.202
Ho: 0.168 0.832 0.445
Ho: 0.944 0.056 0.075

Computed properties:
ΔH_f (0 K) in eV per atom: 0.114
Space group: P2/m